Here is a relaxed structure of CaNdCl from Alexandria. Energies are from PBE-GGA.

Values from the calculation:
The calculation puts the uncorrected formation energy at -21.02 kcal/mol of atoms. Its total magnetic moment is 1.3 μB/cell. The density of states at the Fermi level comes out at 7.528 states/eV/cell. The space group is No. 187. The value obtained for the total energy is -3.78 eV/atom.

Unit cell a=3.717 b=3.718 c=14.813 alpha=90.00 beta=90.00 gamma=119.99
Last column: magnetic moment on the atom in μB.
Sites, in units of the cell vectors:
Ca: 0.611 0.222 0.000  0.22
Ca: 0.278 0.556 0.500  0.04
Nd: 0.611 0.222 0.288  0.06
Nd: 0.611 0.222 0.712  0.06
Cl: 0.278 0.555 0.867  0.01
Cl: 0.278 0.555 0.133  0.01

Here is a relaxed structure of Pm6CoGe3 from Alexandria. Energies are from PBE-GGA.

Values from the calculation:
Its total magnetic moment is 0.0 μB/cell. The density of states at the Fermi level comes out at 19.345 states/eV/cell. The space group is No. 148. The value obtained for the total energy is -5.37 eV/atom. The calculated formation energy is -0.425 eV/atom.

Unit cell a=8.516 b=8.516 c=8.516 alpha=99.29 beta=99.29 gamma=99.29
Sites, in units of the cell vectors:
Pm: 0.314 0.961 0.064
Pm: 0.039 0.936 0.686
Pm: 0.572 0.809 0.434
Pm: 0.936 0.686 0.039
Pm: 0.434 0.572 0.809
Pm: 0.191 0.566 0.428
Pm: 0.809 0.434 0.572
Pm: 0.566 0.428 0.191
Pm: 0.064 0.314 0.961
Pm: 0.428 0.191 0.566
Pm: 0.961 0.064 0.314
Pm: 0.686 0.039 0.936
Co: 0.000 0.000 0.000
Co: 0.500 0.500 0.500
Ge: 0.376 0.880 0.703
Ge: 0.880 0.703 0.376
Ge: 0.297 0.624 0.120
Ge: 0.703 0.376 0.880
Ge: 0.120 0.297 0.624
Ge: 0.624 0.120 0.297

Q: What is the formula in the first record?
A: CaNdCl

Q: What is the formula in the first record?
A: CaNdCl

Q: Look up the total magnetic moment of the second one.
A: 0.0 μB/cell

Q: total magnetic moment of number 2 (Pm6CoGe3)?
A: 0.0 μB/cell